Ho2LuPbC: optimized geometry, PBE.

Calculated values
Raw total energy in eV/atom: -5.8773
Theoretical density in Mg/m³: 10.5

Lattice parameters (Å, degrees): 4.8873 4.8873 4.7816 90.00 90.00 90.00
Atoms (fractional coordinates):
Ho  0.5000  0.0000  0.5000
Ho  0.0000  0.5000  0.5000
Lu  0.5000  0.5000  0.0000
Pb  0.0000  0.0000  0.0000
C  0.5000  0.5000  0.5000

BaPPd3: optimized geometry, PBE.

Calculated values
Raw total energy in eV/atom: -5.3293
Theoretical density in Mg/m³: 7.9

Lattice parameters (Å, degrees): 9.0725 9.0725 11.8039 112.60 112.60 90.00
Atoms (fractional coordinates):
Pd  0.7735  0.7737  0.0472
Pd  0.9132  0.1129  0.2258
Pd  0.6192  0.8102  0.2384
Ba  0.7592  0.7592  0.5184
Ba  0.5092  0.0092  0.0184
Pd  0.2738  0.2735  0.0472
Ba  0.2334  0.7334  0.4668
P  0.8977  0.3967  0.3043
Ba  0.9732  0.9732  0.9465
Pd  0.3642  0.1168  0.7283
P  0.8977  0.9076  0.3043
Pd  0.5602  0.8692  0.7384
Ba  0.7232  0.2232  0.4465
P  0.4066  0.3967  0.3043
Pd  0.1146  0.3620  0.7240
Pd  0.6192  0.4282  0.2384
Pd  0.7735  0.2735  0.0472
Pd  0.3126  0.1129  0.2258
Pd  0.1782  0.8692  0.7384
Ba  0.2420  0.2420  0.4840
Pd  0.0235  0.5238  0.5472
P  0.6576  0.6566  0.8043
Pd  0.8629  0.1632  0.7258
Pd  0.6094  0.3620  0.7240
Pd  0.8668  0.6142  0.2283
Pd  0.3642  0.6116  0.7283
Pd  0.1120  0.3646  0.2240
P  0.1467  0.1477  0.8043
Pd  0.8629  0.5626  0.7258
P  0.1467  0.6566  0.8043
Pd  0.3616  0.6142  0.2283
Pd  0.5238  0.5238  0.5473
Ba  0.4834  0.4834  0.9668
Pd  0.5237  0.0235  0.5472
P  0.4066  0.9076  0.3043
Pd  0.2738  0.7737  0.0472
Ba  0.9920  0.4920  0.9840
Pd  0.1120  0.8594  0.2240
P  0.6576  0.1477  0.8043
Pd  0.0235  0.0235  0.5472

Q: What is the formula in the first record?
A: Ho2LuPbC